The following is a DFT calculation (PBE) of an optimized crystal structure of PmDy3Ir3.

Computed properties:
Excess energy over the best structure of this formula in the dataset: 0.00 eV/f.u.
Formation energy from the elements: -4.77 eV/f.u.
Size of the total moment: 0.000 μB/atom

```
data_PmDy3Ir3
_chemical_formula_sum 'Pm3 Dy9 Ir9'
_cell_length_a 9.7910
_cell_length_b 9.7910
_cell_length_c 5.8911
_cell_angle_alpha 90.00
_cell_angle_beta 90.00
_cell_angle_gamma 120.00
_symmetry_space_group_name_H-M 'R -3 m'
_symmetry_Int_Tables_number 166
_symmetry_space_group_name_Hall '-R 3 2"'
loop_
_atom_site_label
_atom_site_fract_x
_atom_site_fract_y
_atom_site_fract_z
_atom_site_occupancy
Pm1 0.0000 0.0000 0.0000 1
Dy1 0.0000 0.5000 0.0000 1
Ir1 0.0000 0.5000 0.5000 1
```



The following is a DFT calculation (PBE) of an optimized crystal structure of PmDyIr.

Computed properties:
Excess energy over the best structure of this formula in the dataset: 0.00 eV/f.u.
Formation energy from the elements: -1.86 eV/f.u.
Size of the total moment: 0.000 μB/atom

```
data_PmDyIr
_chemical_formula_sum 'Pm4 Dy4 Ir4'
_cell_length_a 6.8821
_cell_length_b 6.8821
_cell_length_c 6.8821
_cell_angle_alpha 90.00
_cell_angle_beta 90.00
_cell_angle_gamma 90.00
_symmetry_space_group_name_H-M 'F -4 3 m'
_symmetry_Int_Tables_number 216
_symmetry_space_group_name_Hall 'F -4 2 3'
loop_
_atom_site_label
_atom_site_fract_x
_atom_site_fract_y
_atom_site_fract_z
_atom_site_occupancy
Pm1 0.0000 0.0000 0.0000 1
Dy1 0.0000 0.0000 0.5000 1
Ir1 0.2500 0.2500 0.2500 1
```



The following is a DFT calculation (PBE) of an optimized crystal structure of Pm3DyIr.

Computed properties:
Excess energy over the best structure of this formula in the dataset: 1.04 eV/f.u.
Formation energy from the elements: -0.70 eV/f.u.
Size of the total moment: 0.000 μB/atom

```
data_Pm3DyIr
_chemical_formula_sum 'Pm3 Dy1 Ir1'
_cell_length_a 5.5702
_cell_length_b 5.5702
_cell_length_c 5.5702
_cell_angle_alpha 90.00
_cell_angle_beta 90.00
_cell_angle_gamma 90.00
_symmetry_space_group_name_H-M 'P m -3 m'
_symmetry_Int_Tables_number 221
_symmetry_space_group_name_Hall '-P 4 2 3'
loop_
_atom_site_label
_atom_site_fract_x
_atom_site_fract_y
_atom_site_fract_z
_atom_site_occupancy
Pm1 0.0000 0.0000 0.5000 1
Dy1 0.5000 0.5000 0.5000 1
Ir1 0.0000 0.0000 0.0000 1
```



The following is a DFT calculation (PBE) of an optimized crystal structure of PmDy2Ir.

Computed properties:
Excess energy over the best structure of this formula in the dataset: 0.74 eV/f.u.
Formation energy from the elements: -1.44 eV/f.u.
Size of the total moment: 0.000 μB/atom

```
data_PmDy2Ir
_chemical_formula_sum 'Pm3 Dy6 Ir3'
_cell_length_a 3.9994
_cell_length_b 3.9994
_cell_length_c 26.5582
_cell_angle_alpha 90.00
_cell_angle_beta 90.00
_cell_angle_gamma 120.00
_symmetry_space_group_name_H-M 'R 3 m'
_symmetry_Int_Tables_number 160
_symmetry_space_group_name_Hall 'R 3 -2"'
loop_
_atom_site_label
_atom_site_fract_x
_atom_site_fract_y
_atom_site_fract_z
_atom_site_occupancy
Pm1 0.0000 0.0000 0.0000 1
Dy1 0.0000 0.0000 0.5536 1
Dy2 0.0000 0.0000 0.7747 1
Ir1 0.0000 0.0000 0.1641 1
```



The following is a DFT calculation (PBE) of an optimized crystal structure of PmDy4Ir5.

Computed properties:
Formation energy from the elements: -7.58 eV/f.u.
Size of the total moment: 0.000 μB/atom

```
data_PmDy4Ir5
_chemical_formula_sum 'Pm1 Dy4 Ir5'
_cell_length_a 3.3751
_cell_length_b 3.3751
_cell_length_c 17.9343
_cell_angle_alpha 90.00
_cell_angle_beta 90.00
_cell_angle_gamma 90.00
_symmetry_space_group_name_H-M 'P 4/m m m'
_symmetry_Int_Tables_number 123
_symmetry_space_group_name_Hall '-P 4 2'
loop_
_atom_site_label
_atom_site_fract_x
_atom_site_fract_y
_atom_site_fract_z
_atom_site_occupancy
Pm1 0.0000 0.0000 0.0000 1
Dy1 0.0000 0.0000 0.2036 1
Dy2 0.0000 0.0000 0.4013 1
Ir1 0.5000 0.5000 0.1062 1
Ir2 0.5000 0.5000 0.3026 1
Ir3 0.5000 0.5000 0.5000 1
```



The following is a DFT calculation (PBE) of an optimized crystal structure of Pm2Dy2Ir3.

Computed properties:
Excess energy over the best structure of this formula in the dataset: 0.00 eV/f.u.
Formation energy from the elements: -5.20 eV/f.u.
Size of the total moment: 0.000 μB/atom

```
data_Pm2Dy2Ir3
_chemical_formula_sum 'Pm6 Dy6 Ir9'
_cell_length_a 4.8406
_cell_length_b 4.8406
_cell_length_c 24.3555
_cell_angle_alpha 90.00
_cell_angle_beta 90.00
_cell_angle_gamma 120.00
_symmetry_space_group_name_H-M 'R -3 m'
_symmetry_Int_Tables_number 166
_symmetry_space_group_name_Hall '-R 3 2"'
loop_
_atom_site_label
_atom_site_fract_x
_atom_site_fract_y
_atom_site_fract_z
_atom_site_occupancy
Pm1 0.0000 0.0000 0.1244 1
Dy1 0.0000 0.0000 0.3743 1
Ir1 0.0000 0.0000 0.0000 1
Ir2 0.0000 0.0000 0.2522 1
```



The following is a DFT calculation (PBE) of an optimized crystal structure of Pm4DyIr3.

Computed properties:
Formation energy from the elements: -4.96 eV/f.u.
Size of the total moment: 0.000 μB/atom

```
data_Pm4DyIr3
_chemical_formula_sum 'Pm16 Dy4 Ir12'
_cell_length_a 11.2674
_cell_length_b 11.2674
_cell_length_c 6.1749
_cell_angle_alpha 90.00
_cell_angle_beta 90.00
_cell_angle_gamma 90.00
_symmetry_space_group_name_H-M 'I 4/m c m'
_symmetry_Int_Tables_number 140
_symmetry_space_group_name_Hall '-I 4 2c'
loop_
_atom_site_label
_atom_site_fract_x
_atom_site_fract_y
_atom_site_fract_z
_atom_site_occupancy
Pm1 0.0831 0.2109 0.0000 1
Dy1 0.0000 0.5000 0.2500 1
Ir1 0.0000 0.0000 0.2500 1
Ir2 0.1516 0.3484 0.5000 1
```



The following is a DFT calculation (PBE) of an optimized crystal structure of Pm2Dy2Si4Ir.

Computed properties:
Formation energy (no corrections): -417 meV per atom
Size of the total moment: 0.000 μB/atom

```
data_Pm2Dy2Si4Ir
_chemical_formula_sum 'Pm4 Dy4 Si8 Ir2'
_cell_length_a 6.8873
_cell_length_b 6.8873
_cell_length_c 8.5718
_cell_angle_alpha 90.00
_cell_angle_beta 90.00
_cell_angle_gamma 90.00
_symmetry_space_group_name_H-M 'I 4/m m m'
_symmetry_Int_Tables_number 139
_symmetry_space_group_name_Hall '-I 4 2'
loop_
_atom_site_label
_atom_site_fract_x
_atom_site_fract_y
_atom_site_fract_z
_atom_site_occupancy
Pm1 0.0000 0.5000 0.2500 1
Dy1 0.0000 0.0000 0.1865 1
Si1 0.2470 0.2470 0.5000 1
Ir1 0.0000 0.0000 0.5000 1
```



The following is a DFT calculation (PBE) of an optimized crystal structure of Pm2DySi3Ir4.

Computed properties:
Formation energy (no corrections): -947 meV per atom
Size of the total moment: 0.000 μB/atom

```
data_Pm2DySi3Ir4
_chemical_formula_sum 'Pm2 Dy1 Si3 Ir4'
_cell_length_a 4.1461
_cell_length_b 4.1461
_cell_length_c 10.9524
_cell_angle_alpha 90.00
_cell_angle_beta 90.00
_cell_angle_gamma 90.00
_symmetry_space_group_name_H-M 'P -4 m 2'
_symmetry_Int_Tables_number 115
loop_
_symmetry_equiv_pos_as_xyz
'x,y,z'
'y,-x,-z'
'-x,-y,z'
'-y,x,-z'
'-x,y,z'
'-y,-x,-z'
'x,-y,z'
'y,x,-z'
loop_
_atom_site_label
_atom_site_fract_x
_atom_site_fract_y
_atom_site_fract_z
_atom_site_occupancy
Pm1 0.0000 0.5000 0.2311 1
Dy1 0.0000 0.0000 0.5000 1
Si1 0.0000 0.5000 0.8820 1
Si2 0.5000 0.5000 0.5000 1
Ir1 0.0000 0.0000 0.0000 1
Ir2 0.0000 0.5000 0.6629 1
Ir3 0.5000 0.5000 0.0000 1
```



The following is a DFT calculation (PBE) of an optimized crystal structure of PmDySiIr.

Computed properties:
Excess energy over the best structure of this formula in the dataset: 1.12 eV/f.u.
Formation energy (no corrections): -539 meV per atom
Size of the total moment: 0.000 μB/atom

```
data_PmDySiIr
_chemical_formula_sum 'Pm4 Dy4 Si4 Ir4'
_cell_length_a 7.0645
_cell_length_b 7.0645
_cell_length_c 7.0645
_cell_angle_alpha 90.00
_cell_angle_beta 90.00
_cell_angle_gamma 90.00
_symmetry_space_group_name_H-M 'F -4 3 m'
_symmetry_Int_Tables_number 216
_symmetry_space_group_name_Hall 'F -4 2 3'
loop_
_atom_site_label
_atom_site_fract_x
_atom_site_fract_y
_atom_site_fract_z
_atom_site_occupancy
Pm1 0.0000 0.0000 0.0000 1
Dy1 0.0000 0.0000 0.5000 1
Si1 0.2500 0.2500 0.7500 1
Ir1 0.2500 0.2500 0.2500 1
```



- Which formula does entry 2 have?
  PmDyIr



- size of the total moment of number 7 (Pm4DyIr3)?
  0.000 μB/atom